MgBe2Mo (SCAN, PBEsol geometry); energy of formation from the pure elements = 0.387 eV per atom; D(E_F) = 0.423 states/eV per atom; crystal system = tetragonal
1.0
-1.7514 1.7514 4.0964
1.7514 -1.7514 4.0964
1.7514 1.7514 -4.0964
Mg Be Mo
1 2 1
Cartesian
0.0000 0.0000 0.0000
1.7514 0.0000 2.0482
0.0000 0.0000 4.0964
0.0000 1.7514 2.0482